Entry 1:
Cs4Ac3ThSe8: optimized geometry, PBE.

a b c (Å): 9.1199 9.9414 9.1199
angles (deg): 117.33 120.00 90.00
With the nearest neighbours (Å) after each atom.
Atoms (fractional coordinates):
Se1 0.2228 0.6936 0.4457  1 Th 2.99, 2 Ac 3.16
Se2 0.7772 0.3064 0.5543  1 Th 2.99, 2 Ac 3.16
Se3 0.7334 0.7001 0.4668  3 Ac 3.13
Se4 0.7482 0.6935 0.9709  1 Th 2.98, 2 Ac 3.16
Se5 0.2518 0.3065 0.0291  1 Th 2.98, 2 Ac 3.16
Se6 0.7773 0.3065 0.0291  1 Th 2.98, 2 Ac 3.16
Se7 0.2227 0.6935 0.9709  1 Th 2.98, 2 Ac 3.16
Se8 0.2666 0.2999 0.5332  3 Ac 3.13
Th1 0.0000 0.5000 0.0000  6 Se 2.98-2.99
Ac1 0.5000 0.5000 0.5000  6 Se 3.13-3.16
Ac2 0.5000 0.5000 0.0000  6 Se 3.13-3.16
Ac3 0.0000 0.5000 0.5000  6 Se 3.13-3.16
Cs1 0.0000 0.0000 0.5000  6 Se 3.64-3.65
Cs2 0.0000 0.0000 0.0000  6 Se 3.64-3.65
Cs3 0.5000 0.0000 0.5000  6 Se 3.64-3.65
Cs4 0.5000 0.0000 0.0000  6 Se 3.78-3.79

## Properties
**Crystal system**: trigonal
**SG**: No. 166
**Uncorrected energy**: -4.914 eV per atom
**Formation energy without anion corrections**: -1.724 eV/atom

Entry 2:
K2NbInSe: optimized geometry, PBE.

a b c (Å): 7.2599 7.2599 5.1924
angles (deg): 90.00 90.00 90.00
With the nearest neighbours (Å) after each atom.
Atoms (fractional coordinates):
K1 0.5000 0.0000 0.0000  2 Se 3.63
K2 0.0000 0.5000 0.0000  2 Se 3.63
In1 0.5000 0.5000 0.5000  8 K 4.46
Se1 0.0000 0.0000 0.0000  2 Nb 2.60
Nb1 0.0000 0.0000 0.5000  2 Se 2.60

## Properties
**Crystal system**: tetragonal
**SG**: No. 123
**Uncorrected energy**: -3.350 eV per atom
**Formation energy without anion corrections**: 0.347 eV/atom

Entry 3:
LaInCu: optimized geometry, PBE.

a b c (Å): 4.1008 7.7718 13.7018
angles (deg): 90.00 90.00 90.00
With the nearest neighbours (Å) after each atom.
Atoms (fractional coordinates):
In1 0.5000 0.4219 0.3693  3 Cu 2.80-2.96
In2 0.5000 0.2102 0.7500  4 Cu 2.77-2.99
In3 0.5000 0.5781 0.6307  3 Cu 2.80-2.96
In4 0.5000 0.5781 0.8693  3 Cu 2.80-2.96
In5 0.5000 0.4219 0.1307  3 Cu 2.80-2.96
In6 0.5000 0.7898 0.2500  4 Cu 2.77-2.99
La1 0.0000 0.1320 0.2500  5 Cu 3.08-3.25, 2 In 3.36
La2 0.0000 0.8680 0.7500  5 Cu 3.08-3.25, 2 In 3.36
La3 0.0000 0.7533 0.4568  5 Cu 3.14-3.24, 6 In 3.43-3.51
La4 0.0000 0.2467 0.5432  5 Cu 3.14-3.24, 6 In 3.43-3.51
La5 0.0000 0.7533 0.0432  5 Cu 3.14-3.24, 6 In 3.43-3.51
La6 0.0000 0.2467 0.9568  5 Cu 3.14-3.24, 6 In 3.43-3.51
Cu1 0.5000 0.9512 0.9110  1 Cu 2.56
Cu2 0.5000 0.0488 0.4110  1 Cu 2.56
Cu3 0.0000 0.5501 0.2500  6 In 2.77-2.80
Cu4 0.5000 0.9512 0.5890  1 Cu 2.56
Cu5 0.0000 0.4499 0.7500  6 In 2.77-2.80
Cu6 0.5000 0.0488 0.0890  1 Cu 2.56

## Properties
**Calculated formation energy**: -0.3776 eV per atom
**Crystal system**: orthorhombic
**SG**: No. 51
**Uncorrected energy**: -4.298 eV per atom

Entry 4:
Th8C3N4: optimized geometry, PBE.

a b c (Å): 7.4467 7.4543 7.4543
angles (deg): 89.78 120.22 120.22
With the nearest neighbours (Å) after each atom.
Atoms (fractional coordinates):
N1 0.5000 0.0000 0.0000  6 Th 2.62-2.64
N2 0.0000 0.0000 0.5000  6 Th 2.62-2.64
N3 0.0000 0.0000 0.0000  6 Th 2.56-2.58
N4 0.0000 0.5000 0.0000  6 Th 2.62-2.64
C1 0.5000 0.0000 0.5000  6 Th 2.62-2.64
C2 0.5000 0.5000 0.5000  6 Th 2.63-2.64
C3 0.5000 0.5000 0.0000  6 Th 2.62-2.64
Th1 0.5000 0.7510 0.2490  3 N 2.62, 3 C 2.64
Th2 0.0009 0.7580 0.7580  4 N 2.56-2.63, 1 C 2.63
Th3 0.0000 0.2445 0.7555  3 N 2.57-2.64, 2 C 2.62
Th4 0.9991 0.2420 0.2420  4 N 2.56-2.63, 1 C 2.63
Th5 0.5000 0.2490 0.7510  3 N 2.62, 3 C 2.64
Th6 0.4925 0.2461 0.2461  2 N 2.58-2.64, 3 C 2.63-2.64
Th7 0.5075 0.7539 0.7539  2 N 2.58-2.64, 3 C 2.63-2.64
Th8 0.0000 0.7555 0.2445  3 N 2.57-2.64, 2 C 2.62

## Properties
**Crystal system**: monoclinic
**SG**: No. 12
**Uncorrected energy**: -8.945 eV per atom
**Formation energy without anion corrections**: -0.923 eV/atom

Entry 5:
FeC2N3: optimized geometry, PBE.

a b c (Å): 6.8476 6.8476 5.7085
angles (deg): 79.17 79.17 81.82
With the nearest neighbours (Å) after each atom.
Atoms (fractional coordinates):
C1 0.2151 0.5033 0.3980  2 N 1.19-1.26
C2 0.5632 0.0470 0.5640  2 N 1.34-1.39
C3 0.4368 0.9530 0.4360  2 N 1.34-1.39
C4 0.5033 0.2151 0.8980  2 N 1.19-1.26
C5 0.7849 0.4967 0.6020  2 N 1.19-1.26
C6 0.0470 0.5632 0.0640  2 N 1.34-1.39
C7 0.9530 0.4368 0.9360  2 N 1.34-1.39
C8 0.4967 0.7849 0.1020  2 N 1.19-1.26
N1 0.5501 0.8712 0.2522  2 C 1.26-1.34
N2 0.5286 0.2940 0.0573  1 C 1.19
N3 0.2295 0.9627 0.4862  1 C 1.39
N4 0.7705 0.0373 0.5138  1 C 1.39
N5 0.0373 0.7705 0.0138  1 C 1.39
N6 0.8712 0.5501 0.7522  2 C 1.26-1.34
N7 0.9627 0.2295 0.9862  1 C 1.39
N8 0.2940 0.5286 0.5573  1 C 1.19
N9 0.7060 0.4714 0.4427  1 C 1.19
N10 0.4714 0.7060 0.9427  1 C 1.19
N11 0.4499 0.1288 0.7478  2 C 1.26-1.34
N12 0.1288 0.4499 0.2478  2 C 1.26-1.34
Fe1 0.7355 0.2645 0.2500  4 N 1.92-1.97
Fe2 0.0219 0.9781 0.2500  4 N 2.11-2.12
Fe3 0.2645 0.7355 0.7500  4 N 1.92-1.97
Fe4 0.9781 0.0219 0.7500  4 N 2.11-2.12

## Properties
**Crystal system**: monoclinic
**SG**: No. 15
**Uncorrected energy**: -8.217 eV per atom
**Formation energy without anion corrections**: 0.430 eV/atom

Entry 6:
LaSmHo2Tl4: optimized geometry, PBE.

a b c (Å): 5.4483 5.4483 9.4632
angles (deg): 73.27 73.27 60.00
With the nearest neighbours (Å) after each atom.
Atoms (fractional coordinates):
Tl1 0.1263 0.1263 0.6211  4 Ho 3.30-3.35, 3 Sm 3.33, 1 La 3.38
Tl2 0.8737 0.8737 0.3789  4 Ho 3.30-3.35, 3 Sm 3.33, 1 La 3.38
Tl3 0.6235 0.6235 0.1296  1 Sm 3.31, 4 Ho 3.33-3.40, 3 La 3.35
Tl4 0.3765 0.3765 0.8704  1 Sm 3.31, 4 Ho 3.33-3.40, 3 La 3.35
Sm1 0.5000 0.5000 0.5000  8 Tl 3.31-3.33
Ho1 0.2496 0.2496 0.2512  8 Tl 3.30-3.40
Ho2 0.7504 0.7504 0.7488  8 Tl 3.30-3.40
La1 0.0000 0.0000 0.0000  8 Tl 3.35-3.38

## Properties
**Calculated formation energy**: -0.3598 eV per atom
**Crystal system**: trigonal
**SG**: No. 166
**Uncorrected energy**: -3.893 eV per atom

Entry 7:
MgBRu: optimized geometry, PBE.

a b c (Å): 5.7342 5.7342 6.9951
angles (deg): 123.56 123.56 69.59
With the nearest neighbours (Å) after each atom.
Atoms (fractional coordinates):
Mg1 0.8750 0.6250 0.7500  2 B 2.45, 2 Ru 2.72
Mg2 0.8750 0.1250 0.2500  2 B 2.45, 2 Ru 2.72
Mg3 0.3750 0.1250 0.2500  2 B 2.45, 2 Ru 2.72
Mg4 0.8750 0.1250 0.7500  2 B 2.45, 2 Ru 2.72
Ru1 0.1130 0.6130 0.2261  4 B 2.14-2.15
Ru2 0.3870 0.8870 0.7739  4 B 2.14-2.15
Ru3 0.3630 0.3630 0.7261  4 B 2.14-2.15
Ru4 0.6370 0.6370 0.2739  4 B 2.14-2.15
B1 0.0786 0.5786 0.5000  4 Ru 2.14-2.15
B2 0.6714 0.6714 0.0000  4 Ru 2.14-2.15
B3 0.4214 0.9214 0.5000  4 Ru 2.14-2.15
B4 0.3286 0.3286 0.0000  4 Ru 2.14-2.15

## Properties
**Offset from the most stable computed form**: 0 kJ/mol of formula units
**Calculated formation energy**: -0.2528 eV per atom
**Crystal system**: orthorhombic
**SG**: No. 70
**Uncorrected energy**: -6.102 eV per atom

Entry 8:
MnSeI: optimized geometry, PBE.

a b c (Å): 3.7981 5.1416 10.0663
angles (deg): 90.00 100.37 90.00
With the nearest neighbours (Å) after each atom.
Atoms (fractional coordinates):
Se1 0.7206 0.2500 0.9384  4 Mn 2.57-2.62
Se2 0.2794 0.7500 0.0616  4 Mn 2.57-2.62
I1 0.1005 0.7500 0.6865  2 Mn 2.75
I2 0.8995 0.2500 0.3135  2 Mn 2.75
Mn1 0.3035 0.2500 0.1127  4 Se 2.57-2.62, 2 I 2.75
Mn2 0.6965 0.7500 0.8873  4 Se 2.57-2.62, 2 I 2.75

## Properties
**Crystal system**: monoclinic
**SG**: No. 11
**Uncorrected energy**: -5.134 eV per atom
**Formation energy without anion corrections**: -0.399 eV/atom

Entry 9:
Ca2Be2Re: optimized geometry, PBE.

a b c (Å): 3.6788 3.6788 6.5422
angles (deg): 73.67 73.67 90.00
With the nearest neighbours (Å) after each atom.
Atoms (fractional coordinates):
Ca1 0.7500 0.2500 0.5000  4 Ca 2.60, 4 Be 2.76
Ca2 0.2500 0.7500 0.5000  4 Ca 2.60, 4 Be 2.76
Be1 0.5783 0.5783 0.8434  1 Be 1.88
Be2 0.4217 0.4217 0.1566  1 Be 1.88
Re1 0.0000 0.0000 0.0000  8 Be 2.77

## Properties
**Offset from the most stable computed form**: 294 kJ/mol of formula units
**Calculated formation energy**: 1.1682 eV per atom
**Crystal system**: tetragonal
**SG**: No. 139
**Uncorrected energy**: -3.613 eV per atom

Entry 10:
PmNd2Ho5Sc: optimized geometry, PBE.

a b c (Å): 5.5869 10.2633 10.4508
angles (deg): 90.00 90.00 105.79
With the nearest neighbours (Å) after each atom.
Atoms (fractional coordinates):
Pm1 0.4125 0.8250 0.4577  5 Ho 3.03-3.25
Pm2 0.5875 0.1750 0.9577  5 Ho 3.03-3.25
Nd1 0.8875 0.7749 0.8146  9 Ho 3.24-3.62, 1 Sc 3.55
Nd2 0.1125 0.2251 0.3146  9 Ho 3.24-3.62, 1 Sc 3.55
Nd3 0.8851 0.7703 0.2337  1 Sc 3.35, 7 Ho 3.44-3.64, 2 Pm 3.68
Nd4 0.1149 0.2297 0.7337  1 Sc 3.35, 7 Ho 3.44-3.64, 2 Pm 3.68
Ho1 0.9828 0.9655 0.5193  2 Pm 3.18, 3 Nd 3.34-3.55, 1 Sc 3.55
Ho2 0.6249 0.2497 0.5188  4 Nd 3.52-3.59, 1 Sc 3.52, 4 Ho 3.60-3.72
Ho3 0.3751 0.7503 0.0188  4 Nd 3.52-3.59, 1 Sc 3.52, 4 Ho 3.60-3.72
Ho4 0.2972 0.5944 0.7036  4 Ho 3.39-3.67, 2 Sc 3.43, 1 Pm 3.43, 3 Nd 3.51-3.62
Ho5 0.0172 0.0345 0.0193  2 Pm 3.18, 3 Nd 3.34-3.55, 1 Sc 3.55
Ho6 0.2767 0.5533 0.3225  1 Pm 3.03, 1 Nd 3.24, 2 Ho 3.39
Ho7 0.7233 0.4467 0.8225  1 Pm 3.03, 1 Nd 3.24, 2 Ho 3.39
Ho8 0.7028 0.4056 0.2036  4 Ho 3.39-3.67, 2 Sc 3.43, 1 Pm 3.43, 3 Nd 3.51-3.62
Ho9 0.5179 0.0358 0.2394  2 Pm 3.09-3.25, 2 Nd 3.45
Ho10 0.4821 0.9642 0.7394  2 Pm 3.09-3.25, 2 Nd 3.45
Sc1 0.1967 0.3934 0.0143  2 Nd 3.35-3.55, 7 Ho 3.43-3.59, 2 Pm 3.58
Sc2 0.8033 0.6066 0.5143  2 Nd 3.35-3.55, 7 Ho 3.43-3.59, 2 Pm 3.58

## Properties
**Calculated formation energy**: 0.1583 eV per atom
**Crystal system**: orthorhombic
**SG**: No. 36
**Uncorrected energy**: -4.676 eV per atom